[1]
# SnPb2Au2

Crystalline SnPb2Au2 at its relaxed geometry (GGA-PBE, Alexandria via LeMat-Bulk).

abc: 8.592 8.592 3.515
angles: 90.00 90.00 90.00
Positions (direct):
Au 0.355 0.145 0.500
Sn 0.500 0.500 0.000
Au 0.645 0.855 0.500
Au 0.145 0.645 0.500
Pb 0.153 0.347 0.000
Sn 0.000 0.000 0.000
Pb 0.847 0.653 0.000
Pb 0.653 0.153 0.000
Au 0.855 0.355 0.500
Pb 0.347 0.847 0.000

## Properties
E_tot	-3.501	eV per atom
SG	P4/mbm (127)
energy of formation	0.094	eV/atom
energy above the lowest structure with this stoichiometry	0.176	eV/atom
N(E_F)	0.519	states/eV/atom


[2]
# Pm6BiTe3As2

Crystalline Pm6BiTe3As2 at its relaxed geometry (GGA-PBE, Alexandria via LeMat-Bulk).

abc: 4.378 8.900 9.920
angles: 103.67 102.75 90.00
Positions (direct):
Pm 0.325 0.431 0.651
As 0.169 0.336 0.337
Pm 0.329 0.889 0.659
Te 0.838 0.167 0.676
As 0.831 0.664 0.663
Pm 0.675 0.569 0.349
Bi 0.500 0.000 0.000
Pm 0.012 0.257 0.025
Te 0.500 0.500 0.000
Te 0.162 0.833 0.324
Pm 0.988 0.743 0.975
Pm 0.671 0.111 0.341

## Properties
E_tot	-5.678	eV per atom
SG	C2/m (12)
energy relative to the elements, uncorrected	-1.419	eV/atom
N(E_F)	0.423	states/eV/atom


[3]
# Na3U5O12

Crystalline Na3U5O12 at its relaxed geometry (GGA-PBE, Alexandria via LeMat-Bulk).

abc: 12.192 12.192 12.192
angles: 109.47 109.47 109.47
Each line ends with the local moment (μB).
Positions (direct):
O 0.070 0.172 0.189  -0.05
O 0.689 0.570 0.172  -0.05
O 0.380 0.397 0.070  -0.05
O 0.672 0.189 0.570  -0.05
U 0.000 0.000 0.500  1.23
Na 0.750 0.875 0.625  0.00
O 0.930 0.828 0.811  -0.05
O 0.828 0.897 0.017  -0.05
O 0.328 0.811 0.430  -0.05
U 0.500 0.500 0.000  1.23
U 0.500 0.000 0.500  1.23
U 0.500 0.500 0.500  1.23
O 0.570 0.689 0.672  -0.05
O 0.189 0.517 0.620  -0.05
O 0.189 0.672 0.070  -0.05
O 0.672 0.483 0.603  -0.05
U 0.375 0.250 0.125  1.83
U 0.875 0.250 0.625  1.83
U 0.750 0.125 0.875  1.83
O 0.603 0.983 0.672  -0.05
O 0.603 0.620 0.430  -0.05
O 0.897 0.070 0.880  -0.05
O 0.397 0.017 0.328  -0.05
O 0.897 0.828 0.517  -0.05
O 0.620 0.603 0.930  -0.05
U 0.625 0.875 0.250  1.83
U 0.000 0.500 0.000  1.23
Na 0.875 0.750 0.125  0.00
O 0.328 0.517 0.397  -0.05
O 0.120 0.430 0.103  -0.05
Na 0.750 0.375 0.125  0.00
U 0.375 0.125 0.750  1.83
Na 0.250 0.125 0.375  0.00
Na 0.375 0.625 0.250  0.00
O 0.017 0.397 0.828  -0.05
O 0.172 0.103 0.983  -0.05
Na 0.625 0.250 0.375  0.00
Na 0.250 0.625 0.875  0.00
O 0.103 0.172 0.483  -0.05
O 0.103 0.930 0.120  -0.05
U 0.000 0.500 0.500  1.23
Na 0.625 0.375 0.750  0.00
O 0.983 0.603 0.172  -0.05
O 0.430 0.120 0.603  -0.05
U 0.875 0.625 0.750  1.83
O 0.120 0.689 0.517  -0.05
O 0.517 0.328 0.897  -0.05
U 0.750 0.625 0.375  1.83
O 0.880 0.311 0.483  -0.05
O 0.172 0.070 0.689  -0.05
O 0.483 0.811 0.880  -0.05
O 0.828 0.930 0.311  -0.05
Na 0.125 0.875 0.750  0.00
O 0.017 0.620 0.689  -0.05
O 0.880 0.570 0.897  -0.05
O 0.620 0.017 0.189  -0.05
O 0.517 0.189 0.120  -0.05
Na 0.125 0.250 0.875  0.00
U 0.000 0.000 0.000  1.23
O 0.311 0.430 0.828  -0.05
O 0.983 0.380 0.311  -0.05
O 0.811 0.483 0.380  -0.05
Na 0.375 0.750 0.625  0.00
O 0.689 0.120 0.017  -0.05
U 0.125 0.750 0.375  1.83
O 0.070 0.897 0.380  -0.05
O 0.311 0.880 0.983  -0.05
O 0.430 0.311 0.328  -0.05
U 0.250 0.375 0.625  1.83
O 0.930 0.103 0.620  -0.05
U 0.500 0.000 0.000  1.23
O 0.397 0.380 0.570  -0.05
O 0.483 0.672 0.103  -0.05
O 0.380 0.983 0.811  -0.05
U 0.250 0.875 0.125  1.83
O 0.811 0.328 0.930  -0.05
U 0.125 0.375 0.250  1.83
O 0.570 0.880 0.397  -0.05
Na 0.875 0.125 0.250  0.00
U 0.625 0.750 0.875  1.83

## Properties
E_tot	-8.706	eV per atom
SG	Ia-3d (230)
energy relative to the elements, uncorrected	-2.711	eV/atom
N(E_F)	0.968	states/eV/atom


Question: What is the N(E_F) in the first record?
Answer: 0.519 states/eV/atom


Copy entry 2 word for word.
# Pm6BiTe3As2

Crystalline Pm6BiTe3As2 at its relaxed geometry (GGA-PBE, Alexandria via LeMat-Bulk).

abc: 4.378 8.900 9.920
angles: 103.67 102.75 90.00
Positions (direct):
Pm 0.325 0.431 0.651
As 0.169 0.336 0.337
Pm 0.329 0.889 0.659
Te 0.838 0.167 0.676
As 0.831 0.664 0.663
Pm 0.675 0.569 0.349
Bi 0.500 0.000 0.000
Pm 0.012 0.257 0.025
Te 0.500 0.500 0.000
Te 0.162 0.833 0.324
Pm 0.988 0.743 0.975
Pm 0.671 0.111 0.341

## Properties
E_tot	-5.678	eV per atom
SG	C2/m (12)
energy relative to the elements, uncorrected	-1.419	eV/atom
N(E_F)	0.423	states/eV/atom


Question: What is the E_tot in the second record?
Answer: -5.678 eV per atom